ErInPbS3 GGA-PBE relaxed; crystal system = orthorhombic; magnetic moment = 0.02 μB per formula unit
1.0
1.9679 -7.3286 0.0000
1.9679 7.3286 0.0000
0.0000 0.0000 10.9987
Er In Pb S
2 2 2 6
Direct
0.0000 0.0000 0.0000
0.0000 0.0000 0.5000
0.3589 0.6411 0.7500
0.6411 0.3589 0.2500
0.3227 0.6773 0.2500
0.6773 0.3227 0.7500
0.0135 0.9865 0.2500
0.3735 0.6265 0.0029
0.3735 0.6265 0.4971
0.6265 0.3735 0.5029
0.6265 0.3735 0.9971
0.9865 0.0135 0.7500


ErInTe3Pb GGA-PBE relaxed; crystal system = orthorhombic; magnetic moment = 0.00 μB per formula unit
1.0
2.2183 -7.5164 0.0000
2.2183 7.5164 0.0000
0.0000 0.0000 11.2206
Er In Te Pb
2 2 6 2
Direct
0.0000 0.0000 0.0000
0.0000 0.0000 0.5000
0.4619 0.5381 0.7500
0.5381 0.4619 0.2500
0.1014 0.8986 0.7500
0.3547 0.6453 0.5270
0.3547 0.6453 0.9730
0.6453 0.3547 0.0270
0.6453 0.3547 0.4730
0.8986 0.1014 0.2500
0.2374 0.7626 0.2500
0.7626 0.2374 0.7500


ErInPd GGA-PBE relaxed; crystal system = hexagonal; magnetic moment = 0.04 μB per formula unit
1.0
8.1628 0.0000 0.0000
-4.0814 7.0692 0.0000
0.0000 0.0000 3.3224
Er In Pd
3 3 3
Direct
0.0000 0.2962 0.0000
0.2962 0.0000 0.0000
0.7038 0.7038 0.0000
0.0000 0.0000 0.5000
0.3333 0.6667 0.0000
0.6667 0.3333 0.0000
0.0000 0.6304 0.5000
0.3696 0.3696 0.5000
0.6304 0.0000 0.5000


ErInPd GGA-PBE relaxed; crystal system = hexagonal; magnetic moment = 0.01 μB per formula unit
1.0
7.4609 0.0000 0.0000
-3.7305 6.4613 0.0000
0.0000 0.0000 4.0067
Er In Pd
3 3 3
Direct
0.0000 0.5893 0.0000
0.4107 0.4107 0.0000
0.5893 0.0000 0.0000
0.0000 0.2552 0.5000
0.2552 0.0000 0.5000
0.7448 0.7448 0.5000
0.0000 0.0000 0.0000
0.3333 0.6667 0.5000
0.6667 0.3333 0.5000


Er5In4Pd2 GGA-PBE relaxed; crystal system = orthorhombic; magnetic moment = 0.05 μB per formula unit
1.0
8.0204 0.0000 0.0000
0.0000 18.1214 0.0000
0.0000 0.0000 3.6192
Er In Pd
10 8 4
Direct
0.0000 0.0000 0.0000
0.1147 0.4175 0.0000
0.2389 0.2198 0.0000
0.2611 0.7198 0.0000
0.3853 0.9175 0.0000
0.5000 0.5000 0.0000
0.6147 0.0825 0.0000
0.7389 0.2802 0.0000
0.7611 0.7802 0.0000
0.8853 0.5825 0.0000
0.0813 0.8510 0.5000
0.2121 0.5683 0.5000
0.2879 0.0683 0.5000
0.4187 0.3510 0.5000
0.5813 0.6490 0.5000
0.7121 0.9317 0.5000
0.7879 0.4317 0.5000
0.9187 0.1490 0.5000
0.0240 0.3045 0.5000
0.4760 0.8045 0.5000
0.5240 0.1955 0.5000
0.9760 0.6955 0.5000


ErInPd GGA-PBE relaxed; crystal system = cubic; magnetic moment = 0.01 μB per formula unit
1.0
6.7779 0.0000 0.0000
0.0000 6.7779 0.0000
0.0000 0.0000 6.7779
Er In Pd
4 4 4
Direct
0.0000 0.0000 0.0000
0.0000 0.5000 0.5000
0.5000 0.0000 0.5000
0.5000 0.5000 0.0000
0.2500 0.2500 0.7500
0.2500 0.7500 0.2500
0.7500 0.2500 0.2500
0.7500 0.7500 0.7500
0.2500 0.2500 0.2500
0.2500 0.7500 0.7500
0.7500 0.2500 0.7500
0.7500 0.7500 0.2500


ErInPd GGA-PBE relaxed; crystal system = hexagonal; magnetic moment = 0.01 μB per formula unit
1.0
7.1970 0.0000 0.0000
-3.5985 6.2328 0.0000
0.0000 0.0000 4.4019
Er In Pd
3 3 3
Direct
0.0000 0.5624 0.0000
0.4376 0.4376 0.0000
0.5624 0.0000 0.0000
0.0000 0.0000 0.0000
0.3333 0.6667 0.5000
0.6667 0.3333 0.5000
0.0000 0.2415 0.5000
0.2415 0.0000 0.5000
0.7585 0.7585 0.5000


ErInPd GGA-PBE relaxed; crystal system = cubic; magnetic moment = 0.09 μB per formula unit
1.0
6.6299 0.0000 0.0000
0.0000 6.6299 0.0000
0.0000 0.0000 6.6299
Er In Pd
4 4 4
Direct
0.0000 0.0000 0.0000
0.0000 0.5000 0.5000
0.5000 0.0000 0.5000
0.5000 0.5000 0.0000
0.0000 0.0000 0.5000
0.0000 0.5000 0.0000
0.5000 0.0000 0.0000
0.5000 0.5000 0.5000
0.2500 0.2500 0.2500
0.2500 0.7500 0.7500
0.7500 0.2500 0.7500
0.7500 0.7500 0.2500


Er2In2PdPt3 GGA-PBE relaxed; crystal system = trigonal; magnetic moment = 0.00 μB per formula unit
1.0
4.5798 0.0000 0.0000
-2.2899 3.9662 0.0000
0.0000 0.0000 8.9557
Er In Pd Pt
2 2 1 3
Direct
0.0000 0.0000 0.0000
0.3333 0.6667 0.5056
0.6667 0.3333 0.2505
0.6667 0.3333 0.7509
0.0000 0.0000 0.3405
0.0000 0.0000 0.6570
0.3333 0.6667 0.1635
0.3333 0.6667 0.8455


Tb2ErIn3PdPt2 GGA-PBE relaxed; crystal system = orthorhombic; magnetic moment = 0.02 μB per formula unit
1.0
3.8318 0.0000 0.0000
0.0000 6.6671 3.8640
0.0000 -6.6671 3.8640
Tb Er In Pd Pt
2 1 3 1 2
Direct
0.0000 0.2052 0.7948
0.0000 0.7948 0.2052
0.0000 0.3848 0.3848
0.5000 0.0544 0.0544
0.5000 0.5361 0.7942
0.5000 0.7942 0.5361
0.0000 0.7941 0.7941
0.5000 0.1306 0.4611
0.5000 0.4611 0.1306


Y2ErIn3PdPt2 GGA-PBE relaxed; crystal system = orthorhombic; magnetic moment = 0.02 μB per formula unit
1.0
3.8218 0.0000 0.0000
0.0000 6.6640 3.8657
0.0000 -6.6640 3.8657
Y Er In Pd Pt
2 1 3 1 2
Direct
0.0000 0.2048 0.7952
0.0000 0.7952 0.2048
0.0000 0.3851 0.3851
0.5000 0.0529 0.0529
0.5000 0.5363 0.7961
0.5000 0.7961 0.5363
0.0000 0.7927 0.7927
0.5000 0.1328 0.4609
0.5000 0.4609 0.1328


YEr2In3PdPt2 GGA-PBE relaxed; crystal system = orthorhombic; magnetic moment = 0.02 μB per formula unit
1.0
3.8044 0.0000 0.0000
0.0000 6.6860 3.8420
0.0000 -6.6860 3.8420
Y Er In Pd Pt
1 2 3 1 2
Direct
0.0000 0.0000 0.0000
0.0000 0.4090 0.8185
0.0000 0.8185 0.4090
0.5000 0.1494 0.4087
0.5000 0.4087 0.1494
0.5000 0.6693 0.6693
0.0000 0.4110 0.4110
0.5000 0.0765 0.7388
0.5000 0.7388 0.0765


no.,VASP energy (eV per atom)
1,-4.917
2,-3.966
3,-4.539
4,-4.969
5,-4.704
6,-4.254
7,-4.769
8,-4.818
9,-5.690
10,-5.328
11,-5.738
12,-5.526